Entry from Alexandria via LeMat-Bulk: crystalline Dy2FeNi3Ge4 at its relaxed geometry (PBE).

Cell lengths 4.0269, 4.0269, 9.8621 Å; angles 90.00, 90.00, 90.00 degrees
Positions (direct):
Dy: 0.5000 0.0000 0.2483
Dy: 0.0000 0.5000 0.7517
Fe: 0.5000 0.5000 0.5000
Ni: 0.0000 0.0000 0.5000
Ni: 0.5000 0.0000 0.8692
Ni: 0.0000 0.5000 0.1308
Ge: 0.5000 0.5000 0.0000
Ge: 0.0000 0.0000 0.0000
Ge: 0.5000 0.0000 0.6305
Ge: 0.0000 0.5000 0.3695

Results
ρ in g/cm³: 8.8
Formation energy from the elements in meV/atom: -627
Total magnetization in μB per formula unit: 0.0
VASP energy in eV/atom: -5.975
Fermi-level density of states in states/eV/f.u.: 4.83
Crystal system: tetragonal